Computed, not measured: a geometry-optimized NaPrHfSnO6 structure at the PBE level of DFT.

Cell lengths 5.7723, 5.7723, 5.7723 Å; angles 60.00, 60.00, 60.00 degrees
Sites, in units of the cell vectors:
Na 0.0000 0.0000 0.0000
Pr 0.5000 0.5000 0.5000
Hf 0.7500 0.7500 0.7500
Sn 0.2500 0.2500 0.2500
O 0.0003 0.0003 0.4997
O 0.0003 0.4997 0.0003
O 0.0003 0.4997 0.4997
O 0.4997 0.0003 0.0003
O 0.4997 0.0003 0.4997
O 0.4997 0.4997 0.0003

Output
Symmetry   F-43m, No. 216
Formation energy from raw total energies   -2.55 eV/atom
Crystal system   cubic
Total magnetization   0.0 Bohr magnetons per cell
Fermi-level density of states   0.00 states/eV per atom